[1]
# PmDyPu2P4

A relaxed PmDyPu2P4 crystal (PBE, the Alexandria database).

Energy in eV per atom: -8.79
Crystal system: monoclinic
Formation energy from the elements in eV per atom: -1.33
Density of states at the Fermi level in states/eV/cell: 24.1
Calculated density in g/cm3: 8.28

a = 4.035 Å, b = 6.971 Å, c = 6.962 Å
α = 109.66°, β = 90.00°, γ = 90.00°
Site moments in Bohr magnetons follow the coordinates.
Element x y z (fractional)
P  0.500  0.258  0.260  0.04
Pu  0.500  0.000  0.500  4.91
Pu  0.000  0.500  0.500  -4.86
Dy  0.500  0.500  0.000  -0.02
P  0.500  0.742  0.740  0.04
P  0.000  0.750  0.257  -0.04
P  0.000  0.250  0.743  -0.04
Pm  0.000  0.000  0.000  0.01

[2]
# La2Tb6Sc

A relaxed La2Tb6Sc crystal (PBE, the Alexandria database).

Offset from the most stable computed form in eV per atom: 0.000
Energy in eV per atom: -4.79
Crystal system: monoclinic
Formation energy from the elements in eV per atom: 0.10
Density of states at the Fermi level in states/eV/cell: 25.7
Calculated density in g/cm3: 7.30

a = 6.099 Å, b = 10.097 Å, c = 10.097 Å
α = 70.19°, β = 84.09°, γ = 84.09°
Element x y z (fractional)
Tb  0.370  0.933  0.662
Tb  0.830  0.026  0.762
Tb  0.489  0.692  0.406
Tb  0.330  0.762  0.026
La  0.557  0.434  0.221
Tb  0.011  0.594  0.308
Tb  0.870  0.662  0.933
La  0.943  0.779  0.566
Tb  0.630  0.067  0.338
La  0.443  0.566  0.779
Tb  0.130  0.338  0.067
Sc  0.750  0.896  0.104
Tb  0.989  0.406  0.692
Tb  0.670  0.238  0.974
La  0.057  0.221  0.434
Tb  0.170  0.974  0.238
Tb  0.511  0.308  0.594
Sc  0.250  0.104  0.896